Below is Li2Pr2MgIn5 after structural relaxation, with properties calculated at the GGA-PBE level.

Computed properties:
DOS(E_F) ... 0.249 states/eV per atom
SG ... P4/mbm
E_form ... -0.381 eV/atom
Total DFT energy (no corrections) ... -3.25 eV/atom

Cell: 10.2806 10.2806 4.4673 Å, 90.00 90.00 90.00°
Positions (direct):
Li (0.1118, 0.3882, 0.0000)
Li (0.3882, 0.8882, 0.0000)
Li (0.6118, 0.1118, 0.0000)
Li (0.8882, 0.6118, 0.0000)
Pr (0.1820, 0.6820, 0.0000)
Pr (0.3180, 0.1820, 0.0000)
Pr (0.6820, 0.8180, 0.0000)
Pr (0.8180, 0.3180, 0.0000)
Mg (0.0000, 0.0000, 0.0000)
Mg (0.5000, 0.5000, 0.0000)
In (0.0000, 0.5000, 0.5000)
In (0.0623, 0.2063, 0.5000)
In (0.2063, 0.9377, 0.5000)
In (0.2937, 0.4377, 0.5000)
In (0.4377, 0.7063, 0.5000)
In (0.5000, 0.0000, 0.5000)
In (0.5623, 0.2937, 0.5000)
In (0.7063, 0.5623, 0.5000)
In (0.7937, 0.0623, 0.5000)
In (0.9377, 0.7937, 0.5000)

---

Below is Li2PrMg2In2 after structural relaxation, with properties calculated at the GGA-PBE level.

Computed properties:
DOS(E_F) ... 0.620 states/eV per atom
SG ... C2/m
E_form ... -0.276 eV/atom
Total DFT energy (no corrections) ... -2.74 eV/atom

Cell: 4.8154 4.8154 8.7822 Å, 105.77 105.77 59.78°
Positions (direct):
Li (0.0713, 0.0713, 0.2132)
Li (0.9287, 0.9287, 0.7868)
Pr (0.5000, 0.5000, 0.5000)
Mg (0.3642, 0.3642, 0.0918)
Mg (0.6358, 0.6358, 0.9082)
In (0.2414, 0.2414, 0.7250)
In (0.7586, 0.7586, 0.2750)

---

Below is Li2PrMgIn2 after structural relaxation, with properties calculated at the GGA-PBE level.

Computed properties:
DOS(E_F) ... 0.599 states/eV per atom
SG ... P-3m1
E_form ... -0.310 eV/atom
Total DFT energy (no corrections) ... -2.92 eV/atom

Cell: 4.8514 4.8514 6.9152 Å, 90.00 90.00 120.00°
Positions (direct):
Li (0.3333, 0.6667, 0.3102)
Li (0.6667, 0.3333, 0.6898)
Pr (0.0000, 0.0000, 0.0000)
Mg (0.0000, 0.0000, 0.5000)
In (0.3333, 0.6667, 0.7485)
In (0.6667, 0.3333, 0.2515)

---

Below is Li2PrMgIn4 after structural relaxation, with properties calculated at the GGA-PBE level.

Computed properties:
DOS(E_F) ... 0.449 states/eV per atom
SG ... R-3m
E_form ... -0.294 eV/atom
Total DFT energy (no corrections) ... -2.94 eV/atom

Cell: 9.7921 9.7921 9.7921 Å, 28.62 28.62 28.62°
Positions (direct):
Li (0.2373, 0.2373, 0.2373)
Li (0.7627, 0.7627, 0.7627)
Pr (0.0000, 0.0000, 0.0000)
Mg (0.5000, 0.5000, 0.5000)
In (0.1222, 0.1222, 0.1222)
In (0.3940, 0.3940, 0.3940)
In (0.6060, 0.6060, 0.6060)
In (0.8778, 0.8778, 0.8778)